Material: KAgCl2
Method: DFT, PBE
State: relaxed

Cell: 7.1492 7.1492 7.1492 Å, 34.64 34.64 34.64°
Sites, in units of the cell vectors:
K 0.0000 0.0000 0.0000
Ag 0.5000 0.5000 0.5000
Cl 0.2381 0.2381 0.2381
Cl 0.7619 0.7619 0.7619

Calculated values
* space-group type: No. 166
* formation energy from raw total energies: -1.167 eV per atom
* VASP energy: -3.077 eV per atom